# RbCrBO4 (GGA+U, relaxed)
# Total magnetization in μB per formula unit: 2.00
# Volume in Å³ per cell: 174.7
# Uncorrected energy in eV/atom: -6.850
data_RbCrBO4
_space_group_name_H-M_alt 'P 1 21/m 1'
_space_group_IT_number 11
_cell_length_a 4.7338
_cell_length_b 5.1969
_cell_length_c 7.1532
_cell_angle_alpha 90.00
_cell_angle_beta 96.93
_cell_angle_gamma 90.00
loop_
_space_group_symop_operation_xyz
'x,y,z'
'-x,-y,-z'
'-x,y+1/2,-z'
'x,-y+1/2,z'
loop_
_atom_site_label
_atom_site_fract_x
_atom_site_fract_y
_atom_site_fract_z
_atom_site_occupancy
Rb1 0.2356 0.2500 0.0821 1
Cr1 0.1913 0.7500 0.4623 1
B1 0.3389 0.2500 0.6405 1
O1 0.1375 0.0277 0.6593 1
O2 0.3926 0.7500 0.2362 1
O3 0.4264 0.2500 0.4497 1